Record 1
Here is crystalline TbPm2NdN4 at its relaxed geometry from Alexandria via LeMat-Bulk. Energies are from PBE.

Output
Symmetry: P2/m
DOS at the Fermi energy, states/eV/atom: 0.0574
Volume, Å³/cell: 131.5
Formation energy from raw total energies, eV/atom: -1.4619

POSCAR file:
```
TbPm2NdN4
1.0
-1.7394 3.0990 -0.5583
-3.3209 -0.9298 5.1852
5.1795 3.1591 1.3983
Pm Tb N Nd
2 1 4 1
Cartesian
1.7201 3.1290 0.4200 Pm
0.9293 1.1146 3.2917 Pm
-2.5301 1.0846 2.3135 Tb
0.5420 3.2278 4.6384 N
3.0562 2.1437 2.3777 N
-1.1975 0.0855 4.2057 N
-0.4228 2.1005 1.3868 N
0.0000 0.0000 0.0000 Nd
```

=====

Record 2
Here is crystalline Pm2NdTcN4 at its relaxed geometry from Alexandria via LeMat-Bulk. Energies are from PBE.

Output
Symmetry: Cmcm
DOS at the Fermi energy, states/eV/atom: 0.2216
Volume, Å³/cell: 252.4
Formation energy from raw total energies, eV/atom: -0.9491

POSCAR file:
```
Pm2NdTcN4
1.0
3.5207 0.0000 0.0000
-1.7604 5.9919 0.0000
0.0000 0.0000 11.9635
N Pm Tc Nd
8 4 2 2
Cartesian
0.0000 3.1997 1.6020 N
1.7604 2.7921 7.5838 N
0.0000 0.0000 0.0000 N
0.0000 0.0000 5.9817 N
0.0000 5.1834 8.9726 N
1.7604 0.8085 2.9909 N
0.0000 3.1997 4.3797 N
1.7604 2.7921 10.3615 N
0.0000 4.4116 11.4811 Pm
1.7604 1.5803 0.4824 Pm
0.0000 4.4116 6.4641 Pm
1.7604 1.5803 5.4993 Pm
0.0000 1.7388 2.9909 Tc
1.7604 4.2530 8.9726 Tc
1.7604 4.5225 2.9909 Nd
0.0000 1.4693 8.9726 Nd
```

=====

Record 3
Here is crystalline PmNdTcN4 at its relaxed geometry from Alexandria via LeMat-Bulk. Energies are from PBE.

Output
Symmetry: I4mm
DOS at the Fermi energy, states/eV/atom: 0.4925
Volume, Å³/cell: 95.0
Formation energy from raw total energies, eV/atom: -0.7655

POSCAR file:
```
PmNdTcN4
1.0
-1.6387 3.1252 1.5950
0.9218 -1.3150 3.5238
5.8965 2.1553 -2.8660
N Tc Nd Pm
4 1 1 1
Cartesian
3.3239 2.9400 2.3555 N
5.9937 2.4000 1.4556 N
1.8688 1.0327 -0.1035 N
4.7134 4.6201 0.4911 N
5.1742 3.9625 2.2530 Tc
1.2681 1.8040 2.4693 Nd
3.9143 2.1631 -0.2167 Pm
```

=====

Record 4
Here is crystalline Pm2NdTh3N6 at its relaxed geometry from Alexandria via LeMat-Bulk. Energies are from PBE.

Output
Symmetry: C2/m
DOS at the Fermi energy, states/eV/atom: 0.3519
Volume, Å³/cell: 206.0
Formation energy from raw total energies, eV/atom: -1.5342

POSCAR file:
```
Pm2NdTh3N6
1.0
6.3297 0.0019 0.0003
-3.1617 5.4835 0.0003
-1.0566 -1.8294 5.9344
N Th Pm Nd
6 3 2 1
Cartesian
2.1241 -0.0001 1.5620 N
2.1045 3.6439 1.5596 N
3.1731 1.8162 4.3731 N
-0.0126 3.6561 4.3731 N
-1.0616 1.8398 1.5620 N
0.0070 0.0120 4.3755 N
1.0557 1.8280 2.9675 Th
-2.1079 3.6551 2.9675 Th
4.2193 0.0009 2.9675 Th
0.0016 3.6566 0.0003 Pm
3.1664 1.8288 0.0003 Pm
0.0000 0.0000 0.0000 Nd
```

=====

Record 5
Here is crystalline PmNdThN3 at its relaxed geometry from Alexandria via LeMat-Bulk. Energies are from PBE.

Output
Symmetry: P2_1/m
DOS at the Fermi energy, states/eV/atom: 0.4274
Volume, Å³/cell: 209.4
Formation energy from raw total energies, eV/atom: -1.3291

POSCAR file:
```
PmNdThN3
1.0
3.5558 0.0000 0.0000
0.0000 6.1948 0.6120
0.0000 -2.0285 9.3046
Th N Pm Nd
2 6 2 2
Cartesian
2.6669 -0.4271 8.9537 Th
0.8890 4.5933 0.9628 Th
2.6669 0.3955 4.4715 N
2.6669 2.9573 1.7840 N
0.8890 4.3177 8.5426 N
2.6669 -0.1514 1.3740 N
0.8890 3.7708 5.4451 N
0.8890 1.2089 8.1325 N
2.6669 4.3189 4.0076 Pm
0.8890 -0.1526 5.9089 Pm
0.8890 1.2488 2.7526 Nd
2.6669 2.9174 7.1640 Nd
```

=====

Record 6
Here is crystalline PmNdTh2N4 at its relaxed geometry from Alexandria via LeMat-Bulk. Energies are from PBE.

Output
Symmetry: P2/m
DOS at the Fermi energy, states/eV/atom: 0.4039
Volume, Å³/cell: 137.7
Formation energy from raw total energies, eV/atom: -1.5290

POSCAR file:
```
PmNdTh2N4
1.0
-1.5289 -1.1920 -3.1044
2.7713 -5.6086 0.7886
-3.8135 -3.7978 3.3364
N Nd Pm Th
4 1 1 2
Cartesian
-2.9794 -4.7844 1.1469 N
0.4082 -5.8139 -0.1263 N
-1.8524 -3.4856 -2.0644 N
-0.7188 -7.1127 3.0850 N
0.6212 -3.4003 -1.1579 Nd
-0.5212 -4.7032 2.0625 Pm
-2.6712 -2.4949 0.1160 Th
-3.8135 -3.7978 3.3364 Th
```

=====

Record 7
Here is crystalline Pm2NdThN4 at its relaxed geometry from Alexandria via LeMat-Bulk. Energies are from PBE.

Output
Symmetry: P2/m
DOS at the Fermi energy, states/eV/atom: 0.2245
Volume, Å³/cell: 136.0
Formation energy from raw total energies, eV/atom: -1.4992

POSCAR file:
```
Pm2NdThN4
1.0
-2.6392 1.3896 -2.0914
2.8975 -2.2149 -5.1282
-4.0032 -4.3363 2.1706
N Pm Th Nd
4 2 1 1
Cartesian
-2.3107 -3.8045 0.3880 N
1.2050 -2.7467 -3.3457 N
-2.1501 -4.2652 -3.2933 N
-1.5948 -0.8963 -1.7557 N
-0.5528 -3.2756 -1.4788 Pm
-3.3212 -1.4733 0.0396 Pm
0.0000 0.0000 0.0000 Th
0.1291 -0.4127 -3.6098 Nd
```

=====

Record 8
Here is crystalline Pm3Nd2ThN6 at its relaxed geometry from Alexandria via LeMat-Bulk. Energies are from PBE.

Output
Symmetry: C2/m
DOS at the Fermi energy, states/eV/atom: 0.1782
Volume, Å³/cell: 203.8
Formation energy from raw total energies, eV/atom: -1.4738

POSCAR file:
```
Pm3Nd2ThN6
1.0
-1.7969 -1.5326 2.7705
6.0204 0.3066 4.0743
-2.6615 7.6616 0.1203
Pm N Nd Th
3 6 2 1
Cartesian
2.1118 -0.6130 3.4224 Pm
3.8092 2.5736 3.8943 Pm
-2.2472 3.8619 3.0708 Pm
3.1447 4.9344 4.7693 N
4.5627 0.2482 3.0966 N
-3.0006 6.1873 3.8686 N
-1.5827 1.5011 2.1958 N
1.4433 1.7008 4.2688 N
0.1187 4.7348 2.6963 N
0.8326 2.4161 1.8766 Nd
0.7294 4.0194 5.0885 Nd
-0.8984 -0.7663 1.3853 Th
```

=====

Record 9
Here is crystalline Pm2NdTlN at its relaxed geometry from Alexandria via LeMat-Bulk. Energies are from PBE.

Output
Symmetry: P4/mmm
DOS at the Fermi energy, states/eV/atom: 0.4840
Volume, Å³/cell: 125.7
Formation energy from raw total energies, eV/atom: -0.8352

POSCAR file:
```
Pm2NdTlN
1.0
-1.1415 -1.4832 4.6777
3.2123 -3.8028 -0.4219
3.6548 2.8869 1.8072
Nd Pm Tl N
1 2 1 1
Cartesian
-0.5707 -0.7416 2.3389 Nd
1.6062 -1.9014 -0.2109 Pm
1.8274 1.4435 0.9036 Pm
2.8629 -1.1995 3.0315 Tl
0.0000 0.0000 0.0000 N
```

=====

Record 10
Here is crystalline PmNd2TlN at its relaxed geometry from Alexandria via LeMat-Bulk. Energies are from PBE.

Output
Symmetry: P4/mmm
DOS at the Fermi energy, states/eV/atom: 0.4896
Volume, Å³/cell: 126.9
Formation energy from raw total energies, eV/atom: -0.8235

POSCAR file:
```
PmNd2TlN
1.0
4.9961 0.0000 0.0000
0.0000 5.0404 0.0000
0.0000 0.0000 5.0404
Nd Tl N Pm
2 1 1 1
Cartesian
0.0000 0.0000 2.5202 Nd
0.0000 2.5202 0.0000 Nd
2.4981 2.5202 2.5202 Tl
0.0000 0.0000 0.0000 N
2.4981 0.0000 0.0000 Pm
```

=====

Record 11
Here is crystalline PmNd2UN4 at its relaxed geometry from Alexandria via LeMat-Bulk. Energies are from PBE.

Output
Symmetry: P2/m
DOS at the Fermi energy, states/eV/atom: 0.6806
Volume, Å³/cell: 128.8
Formation energy from raw total energies, eV/atom: -1.4334

POSCAR file:
```
PmNd2UN4
1.0
3.5777 0.0000 0.0000
0.0000 6.1584 0.1212
0.0000 -2.1394 5.8041
N Nd U Pm
4 2 1 1
Cartesian
1.7889 3.1405 4.6516 N
0.0000 4.3028 1.3720 N
1.7889 0.8785 1.2737 N
0.0000 -0.2838 4.5533 N
1.7889 -1.0697 2.9021 Nd
0.0000 2.0095 2.9626 Nd
0.0000 0.0000 0.0000 U
1.7889 3.0792 0.0606 Pm
```

=====

Record 12
Here is crystalline Pm2NdUN4 at its relaxed geometry from Alexandria via LeMat-Bulk. Energies are from PBE.

Output
Symmetry: P2/m
DOS at the Fermi energy, states/eV/atom: 0.6624
Volume, Å³/cell: 128.0
Formation energy from raw total energies, eV/atom: -1.4387

POSCAR file:
```
Pm2NdUN4
1.0
-2.5282 2.5215 -0.0686
-3.4246 -3.5351 -3.7257
-1.4179 -1.2625 5.8482
Pm N Nd U
2 4 1 1
Cartesian
-1.9731 0.6295 2.8898 Pm
-2.4213 -2.3988 1.0612 Pm
-5.0449 -2.4853 1.6102 N
-2.3258 0.2092 0.4436 N
-2.9872 -3.0382 -1.5814 N
-1.8553 -1.7594 3.7039 N
-2.9764 -0.5068 -1.8972 Nd
0.0000 0.0000 0.0000 U
```

=====

Record 13
Here is crystalline Pm3Nd2UN6 at its relaxed geometry from Alexandria via LeMat-Bulk. Energies are from PBE.

Output
Symmetry: C2/m
DOS at the Fermi energy, states/eV/atom: 0.4352
Volume, Å³/cell: 195.0
Formation energy from raw total energies, eV/atom: -1.4672

POSCAR file:
```
Pm3Nd2UN6
1.0
6.2115 0.0018 -0.0003
-3.1027 5.3811 -0.0003
-1.0370 -1.7956 5.8340
N Pm Nd U
6 3 2 1
Cartesian
3.0007 1.9750 4.4781 N
2.1723 3.7613 1.3660 N
-0.1005 -0.1740 4.4674 N
0.2110 3.5861 4.4781 N
-0.9289 1.6123 1.3553 N
1.8607 0.0011 1.3553 N
1.0359 1.7936 2.9167 Pm
-2.0753 3.5905 2.9167 Pm
4.1471 -0.0032 2.9167 Pm
3.1044 1.7962 -0.0003 Nd
0.0044 3.5866 -0.0003 Nd
0.0000 0.0000 0.0000 U
```

=====

Record 14
Here is crystalline Pm2Nd3UN6 at its relaxed geometry from Alexandria via LeMat-Bulk. Energies are from PBE.

Output
Symmetry: C2/m
DOS at the Fermi energy, states/eV/atom: 0.4492
Volume, Å³/cell: 195.8
Formation energy from raw total energies, eV/atom: -1.4609

POSCAR file:
```
Pm2Nd3UN6
1.0
-2.6471 -5.2712 1.9309
6.1277 0.7869 0.5944
-1.9772 3.8493 4.4667
Pm N U Nd
2 6 1 3
Cartesian
0.2807 -3.2499 1.4849 Pm
3.1999 -1.2344 1.0403 Pm
-0.7345 1.9492 4.0128 N
-0.1579 -1.4055 5.6090 N
-0.9825 -1.0547 1.7856 N
2.4858 0.4197 5.2063 N
1.6613 0.7705 1.3830 N
2.2379 -2.5842 2.9792 N
0.0000 0.0000 0.0000 U
3.6757 1.7012 3.0506 Nd
0.7517 -0.3175 3.4960 Nd
-2.1723 -2.3363 3.9413 Nd
```

=====

Record 15
Here is crystalline PmNd2VN4 at its relaxed geometry from Alexandria via LeMat-Bulk. Energies are from PBE.

Output
Symmetry: Cmcm
DOS at the Fermi energy, states/eV/atom: 0.4275
Volume, Å³/cell: 253.1
Formation energy from raw total energies, eV/atom: -1.1550

POSCAR file:
```
PmNd2VN4
1.0
-3.3566 -0.8017 -0.2376
2.4884 -1.3176 -5.5274
2.4545 -11.4109 3.8252
N Nd Pm V
8 4 2 2
Cartesian
1.3321 -5.0887 -1.6486 N
1.2272 -5.7055 1.9126 N
0.0000 0.0000 0.0000 N
2.5242 -10.0076 -1.8931 N
-0.9378 -3.5227 -0.0467 N
0.7687 -2.4697 -2.5265 N
0.8177 -11.0606 0.5867 N
0.2543 -8.4416 -0.2912 N
-0.3427 -6.0706 0.1438 Nd
1.9291 -7.4596 -2.0836 Nd
2.9464 -12.1889 -0.4982 Nd
-1.3600 -1.3413 -1.4416 Nd
1.9799 -8.8531 1.9000 Pm
-0.3935 -4.6771 -3.8398 Pm
0.6870 -10.0713 -0.9043 V
0.8994 -3.4590 -1.0355 V
```

=====

Record 16
Here is crystalline PmNdVN3 at its relaxed geometry from Alexandria via LeMat-Bulk. Energies are from PBE.

Output
Symmetry: C2/m
DOS at the Fermi energy, states/eV/atom: 0.1723
Volume, Å³/cell: 172.7
Formation energy from raw total energies, eV/atom: -1.2597

POSCAR file:
```
PmNdVN3
1.0
-2.7178 -2.5373 1.0697
5.3246 -0.9921 4.1784
-3.7057 5.2244 2.9773
N Pm V Nd
6 2 2 2
Cartesian
0.0211 1.0155 2.4625 N
-1.8225 3.6108 3.9346 N
0.7235 -1.9158 4.2908 N
1.1995 1.6379 6.9329 N
-2.2984 0.0571 1.2925 N
-1.1200 0.6795 5.7629 N
-2.3182 1.0616 3.6252 Pm
1.2192 0.6333 4.6002 Pm
-2.7609 3.8931 2.2199 V
1.6619 -2.1982 6.0055 V
-0.6243 3.2403 6.1000 Nd
-0.4747 -1.5453 2.1254 Nd
```

=====

Record 17
Here is crystalline Pm2NdVN4 at its relaxed geometry from Alexandria via LeMat-Bulk. Energies are from PBE.

Output
Symmetry: Cmcm
DOS at the Fermi energy, states/eV/atom: 0.4003
Volume, Å³/cell: 250.5
Formation energy from raw total energies, eV/atom: -1.2062

POSCAR file:
```
Pm2NdVN4
1.0
-1.0566 -3.1085 1.0762
6.0814 0.2866 1.2524
-2.4731 4.6315 10.9490
Nd Pm N V
2 4 8 2
Cartesian
-0.9159 3.2593 8.5145 Nd
3.4677 -1.4497 4.7631 Nd
0.8203 -1.6890 1.4728 Pm
2.7575 1.5771 7.2621 Pm
-0.2057 0.2326 6.0155 Pm
1.7314 3.4987 11.8048 Pm
0.0000 0.0000 0.0000 N
2.6409 -0.0646 2.4063 N
0.4926 0.7845 8.2952 N
-0.0892 1.8742 10.8713 N
2.0591 1.0251 4.9824 N
-1.2365 2.3158 5.4745 N
-0.2585 -0.5991 3.5617 N
2.8103 2.4087 9.7159 N
1.2127 1.0986 9.9093 V
1.3390 0.7111 3.3683 V
```

=====

Record 18
Here is crystalline PmNdWN4 at its relaxed geometry from Alexandria via LeMat-Bulk. Energies are from PBE.

Output
Symmetry: I4mm
DOS at the Fermi energy, states/eV/atom: 0.1862
Volume, Å³/cell: 98.3
Formation energy from raw total energies, eV/atom: -1.0581

POSCAR file:
```
PmNdWN4
1.0
-2.5929 2.4858 1.6732
-0.1775 -2.3359 3.1960
6.1101 3.1099 0.1553
W N Pm Nd
1 4 1 1
Cartesian
3.3279 3.2518 5.0178 W
1.7780 2.2071 4.1684 N
4.6352 2.0163 4.1874 N
1.5784 1.0640 0.8654 N
3.4275 4.4272 3.4260 N
3.3491 2.2575 1.8359 Pm
-0.0122 1.0004 3.1870 Nd
```

=====

Record 19
Here is crystalline Pm2NdYN4 at its relaxed geometry from Alexandria via LeMat-Bulk. Energies are from PBE.

Output
Symmetry: P2/m
DOS at the Fermi energy, states/eV/atom: 0.0485
Volume, Å³/cell: 131.1
Formation energy from raw total energies, eV/atom: -1.4667

POSCAR file:
```
Pm2NdYN4
1.0
-3.1833 1.6582 -0.1699
-2.7346 -5.3976 -1.4417
0.0408 0.7114 6.1778
Pm N Y Nd
2 4 1 1
Cartesian
-1.3469 -2.3431 2.3681 Pm
-1.5712 1.1848 3.0040 Pm
-0.6680 -0.8430 4.2895 N
-2.2767 -0.3658 1.0873 N
-2.0258 -3.8433 0.4466 N
-3.6005 -2.6622 3.4789 N
-2.9590 -1.8697 -0.8058 Y
0.0000 0.0000 0.0000 Nd
```

=====

Record 20
Here is crystalline PmNdY2N4 at its relaxed geometry from Alexandria via LeMat-Bulk. Energies are from PBE.

Output
Symmetry: P2/m
DOS at the Fermi energy, states/eV/atom: 0.0318
Volume, Å³/cell: 127.3
Formation energy from raw total energies, eV/atom: -1.5304

POSCAR file:
```
PmNdY2N4
1.0
3.5571 0.0000 0.0000
0.0000 6.1574 0.1100
0.0000 -2.1530 5.7745
N Nd Y Pm
4 1 2 1
Cartesian
0.0000 4.0852 1.5795 N
1.7786 0.9935 1.5187 N
1.7786 3.0109 4.3657 N
0.0000 -0.0809 4.3049 N
1.7786 3.0787 0.0550 Nd
0.0000 2.0022 2.9422 Y
1.7786 -1.0765 2.8872 Y
0.0000 0.0000 0.0000 Pm
```